Entry 1:
Computed, not measured: a relaxed structure of Li2Mo2Pb at the PBEsol level of DFT.

```
data_Li2Mo2Pb
_chemical_formula_sum 'Li4 Mo4 Pb2'
_cell_length_a 3.7034
_cell_length_b 3.7034
_cell_length_c 13.7397
_cell_angle_alpha 90.00
_cell_angle_beta 90.00
_cell_angle_gamma 90.00
_space_group_name_H-M_alt 'I 4/m m m'
_space_group_IT_number 139
_space_group_name_Hall '-I 4 2'
loop_
_atom_site_label
_atom_site_fract_x
_atom_site_fract_y
_atom_site_fract_z
Li1 0.0000 0.5000 0.2500
Mo1 0.0000 0.0000 0.0831
Pb1 0.0000 0.0000 0.5000
```

DOS at the Fermi energy: 3.4 states/eV/f.u.
DFT formation energy: 0.872 eV/atom
calculated volume: 18.844 Å³/atom

***

Entry 2:
Computed, not measured: a relaxed structure of Li2MoPb at the PBEsol level of DFT.

```
data_Li2MoPb
_chemical_formula_sum 'Li4 Mo2 Pb2'
_cell_length_a 3.5362
_cell_length_b 4.6984
_cell_length_c 9.1722
_cell_angle_alpha 90.00
_cell_angle_beta 90.00
_cell_angle_gamma 90.00
_space_group_name_H-M_alt 'C m m 2'
_space_group_IT_number 35
loop_
_space_group_symop_operation_xyz
'x,y,z'
'-x,-y,z'
'-x,y,z'
'x,-y,z'
'x+1/2,y+1/2,z'
'-x+1/2,-y+1/2,z'
'-x+1/2,y+1/2,z'
'x+1/2,-y+1/2,z'
loop_
_atom_site_label
_atom_site_fract_x
_atom_site_fract_y
_atom_site_fract_z
Li1 0.0000 0.0000 0.0000
Li2 0.0000 0.5000 0.2707
Mo1 0.0000 0.0000 0.5010
Pb1 0.0000 0.5000 0.7461
```

DOS at the Fermi energy: 1.0 states/eV/f.u.
DFT formation energy: 0.392 eV/atom
calculated volume: 19.049 Å³/atom